KMoIO2 PBE with a Hubbard U relaxed; volume = 29.5 Å³/atom; DFT total energy = -3.260 eV/atom; excess energy over the best structure of this formula in the dataset = 157.1 kJ/mol of atoms; space-group type = P4/mmm; D(E_F) = 3.8 states/eV/f.u.; crystal system = tetragonal
1.0
4.675 0.000 0.000
0.000 4.675 0.000
0.000 0.000 6.744
O Mo I K
2 1 1 1
Direct
0.500 0.000 0.000 O
0.000 0.500 0.000 O
0.500 0.500 0.500 Mo
0.000 0.000 0.500 I
0.000 0.000 0.000 K